# 1
{
  "formula": "TaSi2Br",
  "functional": "GGA-PBEsol",
  "state": "optimized geometry",
  "de_polymorph_mev_per_atom": 358,
  "dos_ef_per_ev_atom": 0.418,
  "energy_ev_per_cell": -24.5,
  "lattice_angstrom": [[-0.5915, 2.7468, 0.4847], [-2.5032, 0.2305, -4.3613], [-2.5754, -2.7820, 4.2362]],
  "species": ["Si", "Si", "Ta", "Br"],
  "frac_coords": [[0.7602, 0.2602, 0.5204], [0.0292, 0.0292, 0.0585], [0.4921, 0.4921, 0.9842], [0.2184, 0.7184, 0.4369]]
}

=====

# 2
{
  "formula": "AlCd2Cu",
  "functional": "GGA-PBEsol",
  "state": "optimized geometry",
  "dos_ef_per_ev_atom": 0.335,
  "energy_ev_per_cell": -10.3,
  "lattice_angstrom": [[3.2003, 0.0000, 0.0000], [-1.6001, 4.5957, -0.0429], [0.0000, -0.7861, 4.7093]],
  "species": ["Cd", "Cd", "Al", "Cu"],
  "frac_coords": [[0.7555, 0.5109, 0.7590], [0.2445, 0.4891, 0.2410], [0.0000, 0.0000, 0.5000], [0.5000, 0.0000, 0.0000]]
}

=====

# 3
{
  "formula": "PdS2NCl",
  "functional": "GGA-PBEsol",
  "state": "optimized geometry",
  "dos_ef_per_ev_atom": 1.210,
  "energy_ev_per_cell": -20.1,
  "lattice_angstrom": [[3.6148, 0.0000, 0.0000], [0.0000, 4.8816, 0.0000], [0.0000, 0.0000, 4.8816]],
  "species": ["N", "Cl", "S", "S", "Pd"],
  "frac_coords": [[0.5000, 0.0000, 0.0000], [0.5000, 0.5000, 0.5000], [0.0000, 0.0000, 0.5000], [0.0000, 0.5000, 0.0000], [0.0000, 0.0000, 0.0000]]
}

=====

# 4
{
  "formula": "Ba2Au",
  "functional": "GGA-PBEsol",
  "state": "optimized geometry",
  "dos_ef_per_ev_atom": 0.793,
  "energy_ev_per_cell": -19.0,
  "lattice_angstrom": [[-1.7653, -0.3428, 3.5328], [-3.1278, -1.7148, -1.7293], [8.9428, -12.7465, 1.0077]],
  "species": ["Ba", "Ba", "Ba", "Ba", "Au", "Au"],
  "frac_coords": [[0.9394, 0.9394, 0.8788], [0.3106, 0.8106, 0.6212], [0.0606, 0.0606, 0.1212], [0.1894, 0.6894, 0.3788], [0.7500, 0.2500, 0.5000], [0.5000, 0.5000, 0.0000]]
}

=====

# 5
{
  "formula": "BeAl2Cd",
  "functional": "GGA-PBEsol",
  "state": "optimized geometry",
  "de_polymorph_mev_per_atom": 3,
  "dos_ef_per_ev_atom": 0.402,
  "energy_ev_per_cell": -12.3,
  "lattice_angstrom": [[-0.3583, 2.3247, 1.2860], [-2.6566, -1.4838, 1.9421], [4.4436, -1.8823, 4.6404]],
  "species": ["Be", "Al", "Al", "Cd"],
  "frac_coords": [[0.5000, 0.5000, 0.0000], [0.0000, 0.0000, 0.8010], [0.0000, 0.0000, 0.1990], [0.5000, 0.5000, 0.5000]]
}

=====

# 6
{
  "formula": "AgRu2Br",
  "functional": "GGA-PBEsol",
  "state": "optimized geometry",
  "de_polymorph_mev_per_atom": 117,
  "dos_ef_per_ev_atom": 1.145,
  "energy_ev_per_cell": -21.9,
  "lattice_angstrom": [[2.9365, 0.0000, -0.0064], [0.0000, 4.1151, 0.0000], [-1.2957, 0.0000, 5.1478]],
  "species": ["Ru", "Ru", "Br", "Ag"],
  "frac_coords": [[0.8735, 0.0000, 0.7313], [0.1265, 0.0000, 0.2687], [0.0000, 0.5000, 0.5000], [0.5000, 0.5000, 0.0000]]
}